# Er2TeO2 meta-GGA SCAN PBEsol geometry
# **Calculated total energy**: -166.264 eV per cell
data_Er2TeO2
_chemical_formula_sum 'Er2 Te1 O2'
_symmetry_space_group_name_H-M 'P 1'
_symmetry_Int_Tables_number 1
_symmetry_space_group_name_Hall 'P 1'
_cell_length_a 3.817
_cell_length_b 3.817
_cell_length_c 7.082
_cell_angle_alpha 90.00
_cell_angle_beta 90.00
_cell_angle_gamma 120.00
loop_
_atom_site_label
_atom_site_type_symbol
_atom_site_fract_x
_atom_site_fract_y
_atom_site_fract_z
Er1 Er 0.333 0.667 0.306
Er2 Er 0.667 0.333 0.694
Te1 Te 0.000 0.000 0.000
O1 O 0.333 0.667 0.620
O2 O 0.667 0.333 0.380